## LaINF2 (PBE)

Data for crystalline LaINF2 at its relaxed geometry.

## Properties
- symmetry = P4/mmm (123)
- uncorrected formation energy (eV per atom) = -1.59

a b c (Å): 4.569 4.569 5.405
angles (deg): 90.00 90.00 90.00
Fractional coordinates of all 5 atoms:
La (0.000, 0.000, 0.000)
I (0.500, 0.500, 0.500)
N (0.000, 0.000, 0.500)
F (0.000, 0.500, 0.000)
F (0.500, 0.000, 0.000)